First-principles (GGA+U) data for a geometry-optimized KNiO2F structure, as listed in Alexandria.

Its total energy is -2.441 eV/atom.

The space group is P4/mmm (No. 123) and the conventional cell measures 4.269, 4.269 and 4.532 Å, with angles of 90.00, 90.00 and 90.00 degrees. The distinct sites, in fractional coordinates, are K at (0.000, 0.000, 0.000), Ni at (0.500, 0.500, 0.500), O at (0.000, 0.500, 0.000) and F at (0.000, 0.000, 0.500).